[1]
Crystalline Zn2InTe at its relaxed geometry, computed with PBEsol.

The structure belongs to space group R-3m (No. 166, hexagonal axes); the cell edges are 3.9320, 3.9320 and 20.0971 Å and the angles 90.00°, 90.00° and 120.00°. The inequivalent atoms are Zn at (0.0000, 0.0000, 0.2464), In at (0.0000, 0.0000, 0.0000) and Te at (0.0000, 0.0000, 0.5000).

The total energy is -2.3986 eV per atom. The total magnetization comes out at 0.00 μB per cell. Its crystal system is trigonal.

=====

[2]
Crystalline Zn2InTe at its relaxed geometry, computed with PBEsol.

The structure belongs to space group C2/m (No. 12); the cell edges are 6.235, 7.719 and 3.863 Å and the angles 90.00°, 108.47° and 90.00°. The inequivalent atoms are Zn at (0.250, 0.250, 0.000), In at (0.000, 0.000, 0.500) and Te at (0.000, 0.500, 0.500).

The total energy is -2.2993 eV per atom. The total magnetization comes out at 0.00 μB per cell. Its crystal system is monoclinic.

=====

[3]
Crystalline ZnIn2Te at its relaxed geometry, computed with PBEsol.

The structure belongs to space group I-4m2 (No. 119); the cell edges are 4.478, 4.478 and 9.939 Å and the angles 90.00°, 90.00° and 90.00°. The inequivalent atoms are Zn at (0.000, 0.000, 0.000), In at (0.000, 0.000, 0.500), In at (0.000, 0.500, 0.250) and Te at (0.000, 0.500, 0.750).

The total energy is -2.6788 eV per atom. The total magnetization comes out at 0.00 μB per cell. Its crystal system is tetragonal.

=====

[4]
Crystalline ZnInTe at its relaxed geometry, computed with PBEsol.

The structure belongs to space group I4mm (No. 107); the cell edges are 3.467, 3.467 and 11.709 Å and the angles 90.00°, 90.00° and 90.00°. The inequivalent atoms are Zn at (0.000, 0.000, 0.000), In at (0.000, 0.000, 0.652) and Te at (0.000, 0.000, 0.361).

The total energy is -2.6184 eV per atom. The total magnetization comes out at 0.00 μB per cell. Its crystal system is tetragonal.

=====

[5]
Crystalline Zn2InTe at its relaxed geometry, computed with PBEsol.

The structure belongs to space group Cmmm (No. 65); the cell edges are 4.056, 5.509 and 7.842 Å and the angles 90.00°, 90.00° and 90.00°. The inequivalent atoms are Zn at (0.000, 0.000, 0.247), In at (0.000, 0.500, 0.000) and Te at (0.000, 0.500, 0.500).

The total energy is -2.2556 eV per atom. The total magnetization comes out at 0.00 μB per cell. Its crystal system is orthorhombic.

=====

[6]
Crystalline Zn2InTe at its relaxed geometry, computed with PBEsol.

The structure belongs to space group Pmmm (No. 47); the cell edges are 3.157, 3.592 and 7.533 Å and the angles 90.00°, 90.00° and 90.00°. The inequivalent atoms are Zn at (0.000, 0.000, 0.247), In at (0.500, 0.500, 0.000) and Te at (0.500, 0.500, 0.500).

The total energy is -2.2513 eV per atom. The total magnetization comes out at 0.00 μB per cell. Its crystal system is orthorhombic.

=====

[7]
Crystalline ZrIn2Te at its relaxed geometry, computed with PBEsol.

The structure belongs to space group P4/mmm (No. 123); the cell edges are 3.155, 3.155 and 9.727 Å and the angles 90.00°, 90.00° and 90.00°. The inequivalent atoms are Zr at (0.000, 0.000, 0.000), In at (0.500, 0.500, 0.218) and Te at (0.000, 0.000, 0.500).

The total energy is -4.6644 eV per atom. The total magnetization comes out at 0.00 μB per cell. Its crystal system is tetragonal.

=====

[8]
Crystalline ZrIn2Te at its relaxed geometry, computed with PBEsol.

The structure belongs to space group Cmmm (No. 65); the cell edges are 4.204, 4.753 and 9.588 Å and the angles 90.00°, 90.00° and 90.00°. The inequivalent atoms are Zr at (0.000, 0.000, 0.000), In at (0.000, 0.500, 0.223) and Te at (0.000, 0.000, 0.500).

The total energy is -4.6693 eV per atom. The total magnetization comes out at 0.00 μB per cell. Its crystal system is orthorhombic.